(1)
Li3Pr2MgSn4 PBE optimized geometry; DFT formation energy = -5.5 eV per formula unit; energy = -3.84 eV/atom; density of states at the Fermi level = 0.340 states/eV/atom; M_tot = 0.000 μB/f.u.
1.0
4.458 0.000 0.000
0.000 4.458 0.000
0.000 0.000 11.940
Li Pr Mg Sn
3 2 1 4
Direct
0.000 0.000 0.000
0.000 0.500 0.633
0.500 0.000 0.367
0.000 0.500 0.263
0.500 0.000 0.737
0.500 0.500 0.000
0.000 0.000 0.500
0.000 0.500 0.848
0.500 0.000 0.152
0.500 0.500 0.500


(2)
BaGaAg3 PBE optimized geometry; DFT formation energy = -1.0 eV per formula unit; energy = -2.89 eV/atom; density of states at the Fermi level = 0.490 states/eV/atom; M_tot = 0.000 μB/f.u.; E above lowest polymorph = 31 meV per atom
1.0
-3.159 4.974 4.112
3.159 -4.974 4.112
3.159 4.974 -4.112
Ba Ga Ag
2 2 6
Direct
0.317 0.067 0.250
0.683 0.933 0.750
0.000 0.500 0.500
0.500 0.500 0.000
0.143 0.393 0.750
0.210 0.000 0.710
0.210 0.500 0.210
0.790 0.000 0.290
0.790 0.500 0.790
0.857 0.607 0.250


Question: Which formula does entry 1 have?
Answer: Li3Pr2MgSn4


Question: DFT formation energy of number 2 (BaGaAg3)?
Answer: -1.0 eV per formula unit


Question: Among the records above, which one has the lowest DFT formation energy?
Answer: Li3Pr2MgSn4


What did the first record say?
Li3Pr2MgSn4 PBE optimized geometry; DFT formation energy = -5.5 eV per formula unit; energy = -3.84 eV/atom; density of states at the Fermi level = 0.340 states/eV/atom; M_tot = 0.000 μB/f.u.
1.0
4.458 0.000 0.000
0.000 4.458 0.000
0.000 0.000 11.940
Li Pr Mg Sn
3 2 1 4
Direct
0.000 0.000 0.000
0.000 0.500 0.633
0.500 0.000 0.367
0.000 0.500 0.263
0.500 0.000 0.737
0.500 0.500 0.000
0.000 0.000 0.500
0.000 0.500 0.848
0.500 0.000 0.152
0.500 0.500 0.500